# 1
First-principles (PBE) data for an optimized crystal structure of TlCuTc2, as listed in Alexandria via LeMat-Bulk.

ΔH_f (0 K) = 2.5 eV per formula unit
Relative energy among the computed polymorphs = 0.2931 eV/atom
Total DFT energy (no corrections) = -6.179 eV per atom

Cell: 3.2138 4.2946 4.6474 Å, 90.00 90.00 90.00°
Fractional coordinates of all 4 atoms:
Tl: 0.5000 0.0000 0.5000
Cu: 0.0000 0.5000 0.5000
Tc: 0.0000 0.0000 0.0000
Tc: 0.5000 0.5000 0.0000


# 2
First-principles (PBE) data for an optimized crystal structure of TlCu2Tc, as listed in Alexandria via LeMat-Bulk.

ΔH_f (0 K) = 2.4 eV per formula unit
Relative energy among the computed polymorphs = 0.1630 eV/atom
Total DFT energy (no corrections) = -4.621 eV per atom

Cell: 4.4688 4.4688 4.4688 Å, 60.00 60.00 60.00°
Fractional coordinates of all 4 atoms:
Cu: 0.2500 0.2500 0.2500
Tl: 0.7500 0.7500 0.7500
Cu: 0.0000 0.0000 0.0000
Tc: 0.5000 0.5000 0.5000


# 3
First-principles (PBE) data for an optimized crystal structure of Tl2CuTc, as listed in Alexandria via LeMat-Bulk.

ΔH_f (0 K) = 2.9 eV per formula unit
Relative energy among the computed polymorphs = 0.1762 eV/atom
Total DFT energy (no corrections) = -4.066 eV per atom

Cell: 4.7256 4.7256 4.7256 Å, 60.00 60.00 60.00°
Fractional coordinates of all 4 atoms:
Tc: 0.5000 0.5000 0.5000
Tl: 0.7500 0.7500 0.7500
Cu: 0.0000 0.0000 0.0000
Tl: 0.2500 0.2500 0.2500